Record 1
The following is a DFT calculation (PBE) of an optimized crystal structure of In2AgC.

abc: 6.2370 6.2370 6.3859
angles: 60.77 60.77 90.00
Fractional coordinates of all 8 atoms:
C  0.5000  0.5000  0.0000
In  0.8750  0.7897  0.7500
Ag  0.7500  0.2500  0.5000
In  0.5397  0.1250  0.2500
In  0.2103  0.6250  0.2500
C  0.2500  0.7500  0.5000
Ag  0.0000  0.0000  0.0000
In  0.3750  0.4603  0.7500

Summary:
total magnetization: 0.00 μB per cell
space group: No. 122
energy of formation: 300.5 kJ/mol of formula units
V: 90 Å³/f.u.
N(E_F): 0.6280 states/eV per atom



Record 2
The following is a DFT calculation (PBE) of an optimized crystal structure of InAgIrC2.

abc: 3.9356 5.6174 3.9356
angles: 90.00 90.00 90.00
Site moments in Bohr magnetons follow the coordinates.
Fractional coordinates of all 5 atoms:
In  0.5000  0.5000  0.5000  0.01
Ir  0.0000  0.0000  0.0000  -0.04
Ag  0.0000  0.5000  0.0000  0.00
C  0.0000  0.0000  0.5000  0.23
C  0.5000  0.0000  0.0000  0.11

Summary:
total magnetization: 0.64 μB per cell
space group: No. 123
energy of formation: 553.9 kJ/mol of formula units
V: 87 Å³/f.u.
N(E_F): 0.2933 states/eV per atom



Record 3
The following is a DFT calculation (PBE) of an optimized crystal structure of InAg2CN.

abc: 5.7905 5.7905 2.5810
angles: 90.00 90.00 90.00
Fractional coordinates of all 5 atoms:
N  0.0000  0.0000  0.0000
C  0.0000  0.0000  0.5000
Ag  0.5000  0.0000  0.0000
Ag  0.0000  0.5000  0.0000
In  0.5000  0.5000  0.5000

Summary:
total magnetization: 0.00 μB per cell
space group: No. 123
V: 87 Å³/f.u.
N(E_F): 0.2152 states/eV per atom
formation energy (no corrections): 0.8529 eV/atom



Record 4
The following is a DFT calculation (PBE) of an optimized crystal structure of InAg2C2O6.

abc: 5.3624 5.3624 6.5721
angles: 90.00 90.00 120.00
Fractional coordinates of all 11 atoms:
O  0.2780  0.8776  0.7744
O  0.1224  0.4004  0.7744
O  0.4004  0.2780  0.2256
Ag  0.6667  0.3333  0.7265
C  0.6667  0.3333  0.2242
Ag  0.3333  0.6667  0.2735
O  0.8776  0.5996  0.2256
O  0.5996  0.7220  0.7744
O  0.7220  0.1224  0.2256
In  0.0000  0.0000  0.0000
C  0.3333  0.6667  0.7758

Summary:
total magnetization: 0.00 μB per cell
space group: No. 147
V: 164 Å³/f.u.
N(E_F): 0.2323 states/eV per atom
formation energy (no corrections): -0.8996 eV/atom



Record 5
The following is a DFT calculation (PBE) of an optimized crystal structure of In2AgCO.

abc: 5.4969 3.9894 5.4969
angles: 90.00 90.00 90.00
Site moments in Bohr magnetons follow the coordinates.
Fractional coordinates of all 5 atoms:
C  0.5000  0.5000  0.5000  0.99
In  0.0000  0.0000  0.5000  0.05
In  0.5000  0.0000  0.0000  0.07
Ag  0.0000  0.0000  0.0000  0.01
O  0.0000  0.5000  0.0000  0.09

Summary:
total magnetization: 2.59 μB per cell
space group: No. 123
V: 121 Å³/f.u.
N(E_F): 0.5464 states/eV per atom
formation energy (no corrections): 1.3503 eV/atom



Record 6
The following is a DFT calculation (PBE) of an optimized crystal structure of InAgPtC2.

abc: 4.2267 5.1915 4.2267
angles: 90.00 90.00 90.00
Fractional coordinates of all 5 atoms:
Ag  0.0000  0.5000  0.0000
C  0.5000  0.0000  0.0000
C  0.0000  0.0000  0.5000
Pt  0.5000  0.5000  0.5000
In  0.0000  0.0000  0.0000

Summary:
total magnetization: 0.00 μB per cell
space group: No. 123
energy of formation: 1209.2 kJ/mol of formula units
V: 93 Å³/f.u.
N(E_F): 0.4678 states/eV per atom



Record 7
The following is a DFT calculation (PBE) of an optimized crystal structure of AgIrC3.

abc: 4.0230 4.0230 4.0230
angles: 90.00 90.00 90.00
Fractional coordinates of all 5 atoms:
Ag  0.0000  0.0000  0.0000
Ir  0.5000  0.5000  0.5000
C  0.0000  0.5000  0.0000
C  0.5000  0.0000  0.0000
C  0.0000  0.0000  0.5000

Summary:
total magnetization: 0.00 μB per cell
polymorph energy (0 for the lowest one): 1329 meV per atom
space group: No. 221
energy of formation: 1699.8 kJ/mol of formula units
V: 65 Å³/f.u.
N(E_F): 0.4971 states/eV per atom



Record 8
The following is a DFT calculation (PBE) of an optimized crystal structure of AgIrC2.

abc: 4.9563 4.9563 5.7828
angles: 64.63 64.63 90.00
Fractional coordinates of all 8 atoms:
C  0.6828  0.1250  0.2500
Ir  0.0000  0.0000  0.0000
C  0.3750  0.3172  0.7500
Ir  0.7500  0.2500  0.5000
C  0.8750  0.9328  0.7500
C  0.0672  0.6250  0.2500
Ag  0.5000  0.5000  0.0000
Ag  0.2500  0.7500  0.5000

Summary:
total magnetization: 0.00 μB per cell
polymorph energy (0 for the lowest one): 0 meV per atom
space group: No. 122
energy of formation: 446.8 kJ/mol of formula units
V: 56 Å³/f.u.
N(E_F): 0.5934 states/eV per atom



Record 9
The following is a DFT calculation (PBE) of an optimized crystal structure of AgIr3C.

abc: 4.1216 4.1216 4.1216
angles: 90.00 90.00 90.00
Fractional coordinates of all 5 atoms:
Ir  0.0000  0.0000  0.5000
C  0.0000  0.0000  0.0000
Ir  0.0000  0.5000  0.0000
Ir  0.5000  0.0000  0.0000
Ag  0.5000  0.5000  0.5000

Summary:
total magnetization: 0.00 μB per cell
polymorph energy (0 for the lowest one): 0 meV per atom
space group: No. 221
energy of formation: 248.0 kJ/mol of formula units
V: 70 Å³/f.u.
N(E_F): 0.9435 states/eV per atom



Record 10
The following is a DFT calculation (PBE) of an optimized crystal structure of AgIrC2.

abc: 3.9691 3.9691 3.9691
angles: 60.00 60.00 60.00
Fractional coordinates of all 4 atoms:
Ir  0.5000  0.5000  0.5000
Ag  0.0000  0.0000  0.0000
C  0.7500  0.7500  0.7500
C  0.2500  0.2500  0.2500

Summary:
total magnetization: 0.00 μB per cell
polymorph energy (0 for the lowest one): 992 meV per atom
space group: No. 225
energy of formation: 829.9 kJ/mol of formula units
V: 44 Å³/f.u.
N(E_F): 0.9219 states/eV per atom



Record 11
The following is a DFT calculation (PBE) of an optimized crystal structure of AgIr3C.

abc: 4.8113 4.8113 4.8113
angles: 90.00 90.00 90.00
Site moments in Bohr magnetons follow the coordinates.
Fractional coordinates of all 5 atoms:
C  0.5000  0.5000  0.5000  -0.25
Ir  0.5000  0.0000  0.0000  0.56
Ag  0.0000  0.0000  0.0000  0.04
Ir  0.0000  0.5000  0.0000  0.80
Ir  0.0000  0.0000  0.5000  0.88

Summary:
total magnetization: 1.84 μB per cell
polymorph energy (0 for the lowest one): 3302 meV per atom
space group: No. 221
energy of formation: 1841.0 kJ/mol of formula units
V: 111 Å³/f.u.
N(E_F): 2.1714 states/eV per atom



Record 12
The following is a DFT calculation (PBE) of an optimized crystal structure of AgIrC3.

abc: 4.0240 4.0240 4.0240
angles: 90.00 90.00 90.00
Fractional coordinates of all 5 atoms:
C  0.0000  0.0000  0.5000
Ag  0.5000  0.5000  0.5000
C  0.0000  0.5000  0.0000
C  0.5000  0.0000  0.0000
Ir  0.0000  0.0000  0.0000

Summary:
total magnetization: 0.00 μB per cell
polymorph energy (0 for the lowest one): 0 meV per atom
space group: No. 221
energy of formation: 1058.6 kJ/mol of formula units
V: 65 Å³/f.u.
N(E_F): 0.7583 states/eV per atom